ScCd2Te: relaxed, PBEsol.

DFT total energy: -3.492 eV/atom
raw formation energy: -0.36 eV per atom
mass density: 7.37 g/cm³
N(E_F): 2.16 states/eV/f.u.

a b c (Å): 4.164 4.164 5.162
angles (deg): 90.00 90.00 90.00
Space group P4/mmm (No. 123)
Unique sites:
Sc 0.000 0.000 0.000 (multiplicity 1)
Cd 0.000 0.500 0.500 (multiplicity 2)
Te 0.500 0.500 0.000 (multiplicity 1)